# BaTh2Br11 (GGA-PBE, relaxed)
# Final energy ... -4.109 eV/atom
data_BaTh2Br11
_chemical_formula_sum 'Ba2 Th4 Br22'
_cell_length_a 11.232
_cell_length_b 11.791
_cell_length_c 11.791
_cell_angle_alpha 73.84
_cell_angle_beta 61.56
_cell_angle_gamma 61.56
_space_group_name_H-M_alt 'P 1'
_space_group_IT_number 1
_space_group_name_Hall 'P 1'
loop_
_atom_site_label
_atom_site_fract_x
_atom_site_fract_y
_atom_site_fract_z
_atom_site_occupancy
Ba1 0.750 0.750 0.750 1
Ba2 0.250 0.250 0.250 1
Th1 0.647 0.687 0.313 1
Th2 0.353 0.313 0.687 1
Th3 0.853 0.187 0.813 1
Th4 0.147 0.813 0.187 1
Br1 0.633 0.710 0.552 1
Br2 0.367 0.290 0.448 1
Br3 0.105 0.552 0.710 1
Br4 0.867 0.948 0.790 1
Br5 0.895 0.448 0.290 1
Br6 0.133 0.052 0.210 1
Br7 0.395 0.790 0.948 1
Br8 0.605 0.210 0.052 1
Br9 0.500 0.500 0.500 1
Br10 0.000 0.000 0.000 1
Br11 0.881 0.792 0.208 1
Br12 0.119 0.208 0.792 1
Br13 0.619 0.292 0.708 1
Br14 0.381 0.708 0.292 1
Br15 0.472 0.957 0.320 1
Br16 0.528 0.043 0.680 1
Br17 0.251 0.320 0.957 1
Br18 0.028 0.180 0.543 1
Br19 0.749 0.680 0.043 1
Br20 0.972 0.820 0.457 1
Br21 0.249 0.543 0.180 1
Br22 0.751 0.457 0.820 1

---

# BaThBr2 (GGA-PBE, relaxed)
# Final energy ... -4.181 eV/atom
data_BaThBr2
_chemical_formula_sum 'Ba1 Th1 Br2'
_cell_length_a 3.863
_cell_length_b 3.863
_cell_length_c 11.229
_cell_angle_alpha 80.10
_cell_angle_beta 80.10
_cell_angle_gamma 60.00
_space_group_name_H-M_alt 'P 1'
_space_group_IT_number 1
_space_group_name_Hall 'P 1'
loop_
_atom_site_label
_atom_site_fract_x
_atom_site_fract_y
_atom_site_fract_z
_atom_site_occupancy
Br1 0.101 0.101 0.697 1
Br2 0.899 0.899 0.303 1
Ba1 0.000 0.000 0.000 1
Th1 0.500 0.500 0.500 1

---

# Ba2TiBr (GGA-PBE, relaxed)
# Final energy ... -3.335 eV/atom
# Distance to the lowest polymorph of the same formula ... 0 meV/atom
data_Ba2TiBr
_chemical_formula_sum 'Ba4 Ti2 Br2'
_cell_length_a 9.152
_cell_length_b 9.152
_cell_length_c 7.807
_cell_angle_alpha 54.11
_cell_angle_beta 54.11
_cell_angle_gamma 90.00
_space_group_name_H-M_alt 'P 1'
_space_group_IT_number 1
_space_group_name_Hall 'P 1'
loop_
_atom_site_label
_atom_site_fract_x
_atom_site_fract_y
_atom_site_fract_z
_atom_site_occupancy
Ba1 0.654 0.125 0.250 1
Ba2 0.096 0.625 0.250 1
Ba3 0.375 0.346 0.750 1
Ba4 0.875 0.904 0.750 1
Br1 0.000 0.000 0.000 1
Br2 0.750 0.250 0.500 1
Ti1 0.500 0.500 0.000 1
Ti2 0.250 0.750 0.500 1

---

# Ba2TiBr (GGA-PBE, relaxed)
# Final energy ... -3.152 eV/atom
# Distance to the lowest polymorph of the same formula ... 183 meV/atom
data_Ba2TiBr
_chemical_formula_sum 'Ba2 Ti1 Br1'
_cell_length_a 6.011
_cell_length_b 6.011
_cell_length_c 6.011
_cell_angle_alpha 60.00
_cell_angle_beta 60.00
_cell_angle_gamma 60.00
_space_group_name_H-M_alt 'P 1'
_space_group_IT_number 1
_space_group_name_Hall 'P 1'
loop_
_atom_site_label
_atom_site_fract_x
_atom_site_fract_y
_atom_site_fract_z
_atom_site_occupancy
Ba1 0.250 0.250 0.250 1
Ba2 0.750 0.750 0.750 1
Br1 0.500 0.500 0.500 1
Ti1 0.000 0.000 0.000 1